First-principles (PBE) data for a geometry-optimized CeY3Ru8 structure, as listed in Alexandria via LeMat-Bulk.

Calculated values
* spin magnetization: 0.00 μB/cell
* formation enthalpy at 0 K: -0.28 eV per atom
* electronic total energy: -8.5768 eV per atom

Geometry as CIF:
```
data_CeY3Ru8
_chemical_formula_sum 'Ce3 Y9 Ru24'
_cell_length_a 5.3415
_cell_length_b 5.3415
_cell_length_c 26.3343
_cell_angle_alpha 90.00
_cell_angle_beta 90.00
_cell_angle_gamma 120.00
_space_group_name_H-M_alt 'R 3 m'
_space_group_IT_number 160
_space_group_name_Hall 'R 3 -2"'
loop_
_atom_site_label
_atom_site_fract_x
_atom_site_fract_y
_atom_site_fract_z
Ce1 0.0000 0.0000 0.0000
Y1 0.0000 0.0000 0.1254
Y2 0.0000 0.0000 0.5005
Y3 0.0000 0.0000 0.6251
Ru1 0.0000 0.0000 0.3128
Ru2 0.0000 0.0000 0.8130
Ru3 0.0004 0.5002 0.0632
Ru4 0.1674 0.3348 0.8957
```